The following is a GGA-PBE calculation of an optimized crystal structure of NaIrPb2F, from the Alexandria database.

Properties
For the uncorrected formation energy, the calculation gives -0.10 eV per atom. Its electronic total energy is -20.0 eV/f.u. Its calculated density is 8.5 g/cm³.

abc: 5.445 5.445 4.288
angles: 90.00 90.00 90.00
Space group P4/mmm (No. 123)
One atom of each set of equivalent atoms:
Na  0.000  0.000  0.000 [1 per cell]
Ir  0.500  0.500  0.500 [1 per cell]
Pb  0.000  0.500  0.500 [2 per cell]
F  0.500  0.500  0.000 [1 per cell]